Entry 1:
## TaTl2Cr (GGA-PBE)

Data for crystalline TaTl2Cr at its relaxed geometry.

Results
Distance to the lowest polymorph of the same formula: 0.91 eV per formula unit
Calculated formation energy: 718.8 meV/atom
Space-group type: C2/m
Theoretical density: 13015 kg/m3
Raw total energy: -23.3 eV/f.u.

a b c (Å): 5.1175 5.1175 5.4960
angles (deg): 79.68 79.68 35.39
Closest atoms and distances in Å follow each position.
Atoms (fractional coordinates):
Tl: 0.0034 0.0034 0.9954  3 Cr 2.97-3.03, 3 Ta 3.00-3.03, 6 Tl 3.11-3.19
Cr: 0.7500 0.7500 0.7500  6 Tl 2.97-3.03, 2 Cr 3.11, 4 Ta 3.16
Ta: 0.2500 0.2500 0.2500  6 Tl 3.00-3.03, 2 Ta 3.11, 4 Cr 3.16
Tl: 0.4966 0.4966 0.5046  3 Cr 2.97-3.03, 3 Ta 3.00-3.03, 6 Tl 3.11-3.19


Entry 2:
## PmDy5Er2 (GGA-PBE)

Data for crystalline PmDy5Er2 at its relaxed geometry.

Results
Distance to the lowest polymorph of the same formula: 0.06 eV per formula unit
Calculated formation energy: 16.8 meV/atom
Space-group type: Pbam
Theoretical density: 8513 kg/m3
Raw total energy: -36.8 eV/f.u.

a b c (Å): 5.0048 7.0958 14.1936
angles (deg): 90.00 90.00 90.00
Closest atoms and distances in Å follow each position.
Atoms (fractional coordinates):
Er: 0.5000 0.7503 0.3743  10 Dy 3.53-3.57, 2 Pm 3.55
Dy: 0.0000 0.0009 0.2492  4 Er 3.53-3.55, 7 Dy 3.53-3.55, 1 Pm 3.56
Dy: 0.5000 0.7512 0.1256  4 Er 3.53-3.57, 6 Dy 3.53-3.55, 2 Pm 3.55
Er: 0.5000 0.2503 0.1257  10 Dy 3.53-3.57, 2 Pm 3.55
Dy: 0.5000 0.7488 0.6256  4 Er 3.53-3.57, 6 Dy 3.53-3.55, 2 Pm 3.55
Dy: 0.0000 0.5009 0.2508  4 Er 3.53-3.55, 7 Dy 3.53-3.55, 1 Pm 3.56
Dy: 0.0000 0.9991 0.7508  4 Er 3.53-3.55, 7 Dy 3.53-3.55, 1 Pm 3.56
Dy: 0.0000 0.4991 0.7492  4 Er 3.53-3.55, 7 Dy 3.53-3.55, 1 Pm 3.56
Pm: 0.0000 0.0000 0.5000  4 Er 3.55, 8 Dy 3.55-3.56
Dy: 0.0000 0.0000 0.0000  6 Dy 3.54, 2 Pm 3.55, 4 Er 3.55
Dy: 0.0000 0.5000 0.5000  6 Dy 3.54, 2 Pm 3.55, 4 Er 3.55
Er: 0.5000 0.2497 0.6257  10 Dy 3.53-3.57, 2 Pm 3.55
Dy: 0.5000 0.2488 0.8744  4 Er 3.53-3.57, 6 Dy 3.53-3.55, 2 Pm 3.55
Pm: 0.0000 0.5000 0.0000  4 Er 3.55, 8 Dy 3.55-3.56
Er: 0.5000 0.7497 0.8743  10 Dy 3.53-3.57, 2 Pm 3.55
Dy: 0.5000 0.2512 0.3744  4 Er 3.53-3.57, 6 Dy 3.53-3.55, 2 Pm 3.55


Entry 3:
## TbNd4Sm8 (GGA-PBE)

Data for crystalline TbNd4Sm8 at its relaxed geometry.

Results
Calculated formation energy: 486.3 meV/atom
Space-group type: R-3m
Theoretical density: 6526 kg/m3
Raw total energy: -55.1 eV/f.u.

a b c (Å): 11.2379 11.2379 7.9019
angles (deg): 90.00 135.32 120.00
Closest atoms and distances in Å follow each position.
Atoms (fractional coordinates):
Sm: 0.0074 0.2445 0.7703  4 Nd 3.29-3.48, 1 Tb 3.58
Sm: 0.9926 0.7555 0.2297  4 Nd 3.29-3.48, 1 Tb 3.58
Sm: 0.5257 0.7629 0.7703  4 Nd 3.29-3.48, 1 Tb 3.58
Nd: 0.5000 0.0000 0.0000  8 Sm 3.46-3.49
Nd: 0.0000 0.0000 0.0000  8 Sm 3.22-3.29
Nd: 0.5000 0.5000 0.0000  8 Sm 3.46-3.49
Sm: 0.0074 0.7629 0.7702  4 Nd 3.29-3.48, 1 Tb 3.58
Sm: 0.4743 0.2371 0.2297  4 Nd 3.29-3.48, 1 Tb 3.58
Sm: 0.9926 0.2372 0.2298  4 Nd 3.29-3.48, 1 Tb 3.58
Tb: 0.0000 0.5000 0.5000  8 Sm 3.54-3.58, 6 Nd 3.95
Sm: 0.5239 0.7620 0.2859  4 Nd 3.22-3.49, 1 Tb 3.54
Nd: 0.0000 0.5000 0.0000  8 Sm 3.46-3.49
Sm: 0.4761 0.2380 0.7141  4 Nd 3.22-3.49, 1 Tb 3.54


Q: Look up the calculated formation energy of the second one.
A: 16.8 meV/atom